The following is a PBE calculation of LiTm4S4 after structural relaxation, from Alexandria.

Results
Density of states at the Fermi level   3.343 states/eV/f.u.
Raw formation energy   -1.6439 eV per atom
Magnetization   0.000 μB per atom

Cell lengths 11.936, 5.373, 8.435 Å; angles 90.00, 134.94, 90.00 degrees
Space group C2/m (No. 12)
Unique sites:
Li  0.000  0.000  0.000 [2 per cell]
Tm  0.099  0.500  0.802 [4 per cell]
Tm  0.202  0.000  0.602 [4 per cell]
S  0.095  0.000  0.801 [4 per cell]
S  0.206  0.500  0.612 [4 per cell]


The following is a PBE calculation of FeRh2Cl after structural relaxation, from Alexandria.

Results
Density of states at the Fermi level   4.781 states/eV/f.u.
Raw formation energy   0.2008 eV per atom
Magnetization   1.317 μB per atom

Cell lengths 3.013, 3.013, 6.672 Å; angles 90.00, 90.00, 90.00 degrees
Space group P4/mmm (No. 123)
Unique sites:
Fe  0.000  0.000  0.000 [1 per cell]
Rh  0.500  0.500  0.216 [2 per cell]
Cl  0.000  0.000  0.500 [1 per cell]


The following is a PBE calculation of ErGa6Mo after structural relaxation, from Alexandria.

Results
Formation energy from the elements   -93 meV per atom
Density of states at the Fermi level   3.690 states/eV/f.u.
Magnetization   0.000 μB per atom

Cell lengths 9.4244, 9.4244, 6.1810 Å; angles 90.00, 90.00, 120.00 degrees
Space group R-3m (No. 166, hexagonal axes)
Unique sites:
Er  0.0000  0.0000  0.0000 [3 per cell]
Ga  0.0336  0.5168  0.2913 [18 per cell]
Mo  0.0000  0.0000  0.5000 [3 per cell]


Q: Which value of density of states at the Fermi level does entry 1 give?
A: 3.343 states/eV/f.u.